[1]
Compound: Sc2CuHg3
Source: Alexandria via LeMat-Bulk
Functional: PBE-GGA
Structure: relaxed

Results
Symmetry   Pmm2 (25)
E_form   -1.50 eV/f.u.
Spin magnetization   0.32 μB per formula unit
Fermi-level density of states   3.92 states/eV per cell
Total energy   -3.195 eV/atom

Cell lengths 3.2262, 4.6628, 8.2171 Å; angles 90.00, 90.00, 90.00 degrees
With the nearest neighbours (Å) after each atom.
Element x y z (fractional)
Sc: 0.0000 0.5000 0.0199  2 Cu 2.99, 8 Hg 3.13-3.21, 2 Sc 3.23
Cu: 0.5000 0.5000 0.3269  3 Hg 2.61-2.62
Hg: 0.5000 0.0000 0.8380  3 Hg 2.82-2.83
Hg: 0.5000 0.0000 0.1818  2 Cu 2.62, 1 Hg 2.83
Sc: 0.0000 0.0000 0.4889  8 Hg 3.00-3.29, 4 Cu 3.13, 2 Sc 3.23
Hg: 0.5000 0.5000 0.6445  1 Cu 2.61, 2 Hg 2.82

---

[2]
Compound: NaAc2Au4
Source: Alexandria via LeMat-Bulk
Functional: PBE-GGA
Structure: relaxed

Results
Distance to the lowest polymorph of the same formula   0.0 meV/atom
Symmetry   R-3m (166)
E_form   -4.00 eV/f.u.
Spin magnetization   0.00 μB per formula unit
Fermi-level density of states   5.31 states/eV per cell
Total energy   -3.807 eV/atom

Cell lengths 5.3197, 5.3197, 8.8907 Å; angles 72.59, 72.59, 60.00 degrees
With the nearest neighbours (Å) after each atom.
Element x y z (fractional)
Au: 0.1163 0.1163 0.6510  1 Na 2.91, 4 Ac 3.14-3.18
Ac: 0.7566 0.7566 0.7303  8 Au 3.14-3.32
Au: 0.3761 0.3761 0.8717  3 Na 3.25, 4 Ac 3.29-3.32, 3 Au 3.58
Au: 0.8837 0.8837 0.3490  1 Na 2.91, 4 Ac 3.14-3.18
Ac: 0.2434 0.2434 0.2697  8 Au 3.14-3.32
Na: 0.0000 0.0000 0.0000  8 Au 2.91-3.25
Au: 0.6239 0.6239 0.1283  3 Na 3.25, 4 Ac 3.29-3.32, 3 Au 3.58

---

[3]
Compound: Ti3Be3NiRh2
Source: Alexandria via LeMat-Bulk
Functional: PBE-GGA
Structure: relaxed

Results
Symmetry   P-62m (189)
E_form   -3.83 eV/f.u.
Spin magnetization   0.00 μB per formula unit
Fermi-level density of states   8.21 states/eV per cell
Total energy   -6.575 eV/atom

Cell lengths 3.9248, 5.8475, 5.8475 Å; angles 120.00, 90.00, 90.00 degrees
With the nearest neighbours (Å) after each atom.
Element x y z (fractional)
Ti: 0.0000 0.4089 0.0000  1 Ni 2.39, 4 Rh 2.64
Ni: 0.0000 0.0000 0.0000  6 Be 2.34, 3 Ti 2.39
Be: 0.5000 0.7835 0.0000  2 Be 2.19, 2 Ni 2.34, 2 Rh 2.37
Rh: 0.5000 0.6667 0.3333  3 Be 2.37, 6 Ti 2.64
Be: 0.5000 0.0000 0.7835  2 Be 2.19, 2 Ni 2.34, 2 Rh 2.37
Ti: 0.0000 0.0000 0.4089  1 Ni 2.39, 4 Rh 2.64
Ti: 0.0000 0.5911 0.5911  1 Ni 2.39, 4 Rh 2.64
Be: 0.5000 0.2165 0.2165  2 Be 2.19, 2 Ni 2.34, 2 Rh 2.37
Rh: 0.5000 0.3333 0.6667  3 Be 2.37, 6 Ti 2.64

---

[4]
Compound: SiAs2SN
Source: Alexandria via LeMat-Bulk
Functional: PBE-GGA
Structure: relaxed

Results
Symmetry   P4/mmm (123)
ΔE_f (raw)   1.895 eV per atom
Spin magnetization   0.00 μB per formula unit
Fermi-level density of states   5.33 states/eV per cell
Total energy   -3.540 eV/atom

Cell lengths 4.7573, 4.4932, 4.7573 Å; angles 90.00, 90.00, 90.00 degrees
With the nearest neighbours (Å) after each atom.
Element x y z (fractional)
S: 0.0000 0.0000 0.0000  2 Si 2.25, 4 As 2.38
As: 0.5000 0.0000 0.0000  2 S 2.38
As: 0.0000 0.0000 0.5000  2 S 2.38
Si: 0.0000 0.5000 0.0000  2 S 2.25
N: 0.5000 0.5000 0.5000  8 As 3.27, 4 Si 3.36

---

[5]
Compound: AlIr2Cl
Source: Alexandria via LeMat-Bulk
Functional: PBE-GGA
Structure: relaxed

Results
Distance to the lowest polymorph of the same formula   501.4 meV/atom
Symmetry   Cmmm (65)
ΔE_f (raw)   0.450 eV per atom
Spin magnetization   0.00 μB per formula unit
Fermi-level density of states   1.96 states/eV per cell
Total energy   -5.378 eV/atom

Cell lengths 4.5528, 4.5528, 2.9117 Å; angles 90.00, 90.00, 100.19 degrees
With the nearest neighbours (Å) after each atom.
Element x y z (fractional)
Ir: 0.0000 0.0000 0.0000  4 Al 2.70, 4 Cl 2.70, 4 Ir 2.91-2.92
Cl: 0.0000 0.5000 0.5000  8 Ir 2.70, 2 Cl 2.91, 2 Al 2.92
Ir: 0.5000 0.5000 0.0000  4 Cl 2.70, 4 Al 2.70, 4 Ir 2.91-2.92
Al: 0.5000 0.0000 0.5000  8 Ir 2.70, 2 Al 2.91, 2 Cl 2.92

---

[6]
Compound: TaSb2Ru
Source: Alexandria via LeMat-Bulk
Functional: PBE-GGA
Structure: relaxed

Results
Distance to the lowest polymorph of the same formula   520.9 meV/atom
Symmetry   I-42d (122)
ΔE_f (raw)   0.443 eV per atom
Spin magnetization   0.00 μB per formula unit
Fermi-level density of states   7.00 states/eV per cell
Total energy   -6.901 eV/atom

Cell lengths 4.2887, 4.2887, 9.7173 Å; angles 77.25, 77.25, 90.00 degrees
With the nearest neighbours (Å) after each atom.
Element x y z (fractional)
Ru: 0.5000 0.5000 0.0000  4 Sb 2.74, 4 Ta 3.03
Sb: 0.1397 0.6250 0.2500  2 Ru 2.74, 2 Ta 2.79, 2 Sb 2.94
Sb: 0.3750 0.3897 0.7500  2 Ru 2.74, 2 Ta 2.79, 2 Sb 2.94
Sb: 0.8750 0.8603 0.7500  2 Ru 2.74, 2 Ta 2.79, 2 Sb 2.94
Ta: 0.7500 0.2500 0.5000  4 Sb 2.79, 4 Ru 3.03
Ta: 0.0000 0.0000 0.0000  4 Sb 2.79, 4 Ru 3.03
Sb: 0.6103 0.1250 0.2500  2 Ru 2.74, 2 Ta 2.79, 2 Sb 2.94
Ru: 0.2500 0.7500 0.5000  4 Sb 2.74, 4 Ta 3.03